# 1
Density functional theory data (PBE) for a geometry-optimized NbH2I structure.

Cell lengths 6.0652, 6.0652, 6.1805 Å; angles 90.00, 90.00, 90.00 degrees
With the nearest neighbours (Å) after each atom.
Space group I-42d (No. 122)
One atom of each set of equivalent atoms:
1 Nb 0.0000 0.0000 0.0000 [4 per cell]  4 H 1.86
2 H 0.1241 0.7500 0.1250 [8 per cell]  2 Nb 1.86
3 I 0.0000 0.0000 0.5000 [4 per cell]  8 H 2.85-2.87, 2 Nb 3.09

Output
**E**: -4.297 eV per atom
**Calculated volume**: 56.8 Å³/f.u.
**Magnetic moment**: 0.0 Bohr magnetons per cell

=====

# 2
Density functional theory data (PBE) for a geometry-optimized NbH2I4 structure.

Cell lengths 3.8889, 7.8161, 8.2412 Å; angles 72.87, 88.75, 90.00 degrees
With the nearest neighbours (Å) after each atom.
Space group P-1 (No. 2)
One atom of each set of equivalent atoms:
1 Nb 0.0000 0.0000 0.0000 [1 per cell]  6 I 2.87-2.93
2 H 0.4904 0.6181 0.2249 [2 per cell]  2 I 1.94-1.95
3 I 0.0098 0.3706 0.7815 [2 per cell]  2 H 1.94-1.95
4 I 0.4901 0.0906 0.2167 [2 per cell]  2 Nb 2.87

Output
**E**: -3.287 eV per atom
**Calculated volume**: 239.3 Å³/f.u.
**Magnetic moment**: 2.3 Bohr magnetons per cell

=====

# 3
Density functional theory data (PBE) for a geometry-optimized NbHI3 structure.

Cell lengths 5.0147, 5.0147, 5.0147 Å; angles 90.00, 90.00, 90.00 degrees
With the nearest neighbours (Å) after each atom.
Space group Pm-3m (No. 221)
One atom of each set of equivalent atoms:
1 Nb 0.0000 0.0000 0.0000 [1 per cell]  12 I 3.55
2 H 0.5000 0.5000 0.5000 [1 per cell]  6 I 2.51
3 I 0.0000 0.5000 0.5000 [3 per cell]  2 H 2.51

Output
**E**: -2.614 eV per atom
**Calculated volume**: 126.1 Å³/f.u.
**Magnetic moment**: 2.7 Bohr magnetons per cell

=====

# 4
Density functional theory data (PBE) for a geometry-optimized NbHIO2 structure.

Cell lengths 4.1933, 4.1933, 3.3886 Å; angles 90.00, 90.00, 90.00 degrees
With the nearest neighbours (Å) after each atom.
Space group P4/mmm (No. 123)
One atom of each set of equivalent atoms:
1 Nb 0.0000 0.0000 0.0000 [1 per cell]  8 O 2.70, 4 I 2.97
2 H 0.5000 0.5000 0.5000 [1 per cell]  2 I 1.69
3 I 0.5000 0.5000 0.0000 [1 per cell]  2 H 1.69
4 O 0.0000 0.5000 0.5000 [2 per cell]  2 H 2.10

Output
**E**: -4.496 eV per atom
**Calculated volume**: 59.6 Å³/f.u.
**Magnetic moment**: 0.0 Bohr magnetons per cell

=====

# 5
Density functional theory data (PBE) for a geometry-optimized NbHIO2 structure.

Cell lengths 3.9123, 3.9123, 5.8463 Å; angles 90.00, 90.00, 90.00 degrees
With the nearest neighbours (Å) after each atom.
Space group P4/mmm (No. 123)
One atom of each set of equivalent atoms:
1 Nb 0.0000 0.0000 0.0000 [1 per cell]  4 O 1.96
2 H 0.5000 0.5000 0.5000 [1 per cell]  4 I 2.77
3 I 0.0000 0.0000 0.5000 [1 per cell]  4 H 2.77, 2 Nb 2.92
4 O 0.0000 0.5000 0.0000 [2 per cell]  2 Nb 1.96

Output
**E**: -5.897 eV per atom
**Calculated volume**: 89.5 Å³/f.u.
**Magnetic moment**: 0.6 Bohr magnetons per cell

=====

# 6
Density functional theory data (PBE) for a geometry-optimized Rb2NbHI6 structure.

Cell lengths 9.0707, 9.0707, 9.7696 Å; angles 90.00, 90.00, 90.00 degrees
With the nearest neighbours (Å) after each atom.
Space group I4/mmm (No. 139)
One atom of each set of equivalent atoms:
1 Rb 0.0000 0.5000 0.2500 [4 per cell]  8 I 4.05
2 Nb 0.0000 0.0000 0.0000 [2 per cell]  6 I 2.83-2.96
3 H 0.0000 0.0000 0.5000 [2 per cell]  2 I 1.92
4 I 0.0000 0.0000 0.3032 [4 per cell]  1 H 1.92
5 I 0.2208 0.2208 0.0000 [8 per cell]  1 Nb 2.83

Output
**E**: -3.116 eV per atom
**Calculated volume**: 401.9 Å³/f.u.
**Magnetic moment**: 4.0 Bohr magnetons per cell

=====

# 7
Density functional theory data (PBE) for a geometry-optimized NbTcHRuI structure.

Cell lengths 6.5163, 4.5509, 6.5477 Å; angles 90.00, 96.23, 90.00 degrees
With the nearest neighbours (Å) after each atom.
Space group Cm (No. 8)
One atom of each set of equivalent atoms:
1 Nb 0.0000 0.0000 0.0000 [2 per cell]  1 H 2.10
2 Tc 0.3122 0.0000 0.2657 [2 per cell]  3 H 2.38-2.63, 3 Ru 2.42-2.51, 1 Nb 2.53
3 H 0.4145 0.5000 0.3005 [2 per cell]  1 Ru 1.73
4 Ru 0.1649 0.5000 0.1809 [2 per cell]  1 H 1.73
5 I 0.3203 0.0000 0.6934 [2 per cell]  1 Tc 2.80, 1 Nb 3.05

Output
**E**: -6.579 eV per atom
**Calculated volume**: 96.5 Å³/f.u.
**Magnetic moment**: 0.0 Bohr magnetons per cell

=====

# 8
Density functional theory data (PBE) for a geometry-optimized NbTcHRuI structure.

Cell lengths 3.7889, 3.0150, 7.8750 Å; angles 90.00, 97.81, 90.00 degrees
With the nearest neighbours (Å) after each atom.
Space group Pm (No. 6)
One atom of each set of equivalent atoms:
1 Nb 0.0000 0.0000 0.0000 [1 per cell]  1 Tc 2.49
2 Tc 0.0844 0.0000 0.3192 [1 per cell]  2 H 1.92
3 H 0.8392 0.5000 0.3996 [1 per cell]  1 Ru 1.86, 2 Tc 1.92
4 Ru 0.5519 0.5000 0.1882 [1 per cell]  1 H 1.86
5 I 0.4187 0.0000 0.7057 [1 per cell]  2 Nb 2.97-2.98, 2 I 3.01, 1 Tc 3.13

Output
**E**: -6.609 eV per atom
**Calculated volume**: 89.1 Å³/f.u.
**Magnetic moment**: 0.1 Bohr magnetons per cell

=====

# 9
Density functional theory data (PBE) for a geometry-optimized NbTcHRuI structure.

Cell lengths 14.8248, 3.1416, 3.7380 Å; angles 90.00, 98.77, 90.00 degrees
With the nearest neighbours (Å) after each atom.
Space group Cm (No. 8)
One atom of each set of equivalent atoms:
1 Nb 0.0000 0.0000 0.0000 [2 per cell]  1 Tc 2.48
2 Tc 0.1690 0.0000 0.1009 [2 per cell]  2 H 1.94
3 H 0.2132 0.5000 0.8780 [2 per cell]  1 Ru 1.83, 2 Tc 1.94
4 Ru 0.1053 0.5000 0.5675 [2 per cell]  1 H 1.83
5 I 0.3734 0.0000 0.4179 [2 per cell]  4 Nb 3.05-3.08, 1 Tc 3.08, 2 I 3.14, 2 H 3.27, 1 Ru 3.40

Output
**E**: -6.601 eV per atom
**Calculated volume**: 86.0 Å³/f.u.
**Magnetic moment**: 0.0 Bohr magnetons per cell

=====

# 10
Density functional theory data (PBE) for a geometry-optimized NbTcHRuI structure.

Cell lengths 3.2741, 3.1872, 7.8117 Å; angles 90.00, 92.29, 90.00 degrees
With the nearest neighbours (Å) after each atom.
Space group Pm (No. 6)
One atom of each set of equivalent atoms:
1 Nb 0.0000 0.0000 0.0000 [1 per cell]  1 H 1.96
2 Tc 0.4974 0.5000 0.7897 [1 per cell]  2 H 1.90
3 H 0.1868 0.0000 0.7654 [1 per cell]  2 Tc 1.90, 1 Nb 1.96
4 Ru 0.5159 0.5000 0.1745 [1 per cell]  4 Nb 2.66, 2 I 2.85
5 I 0.5427 0.0000 0.4766 [1 per cell]  1 H 2.58, 2 Ru 2.85

Output
**E**: -6.638 eV per atom
**Calculated volume**: 81.4 Å³/f.u.
**Magnetic moment**: 0.0 Bohr magnetons per cell

=====

# 11
Density functional theory data (PBE) for a geometry-optimized NbTcHRuI structure.

Cell lengths 8.8748, 3.2702, 6.8497 Å; angles 90.00, 93.10, 90.00 degrees
With the nearest neighbours (Å) after each atom.
Space group Cm (No. 8)
One atom of each set of equivalent atoms:
1 Nb 0.0000 0.0000 0.0000 [2 per cell]  1 H 2.42, 2 Tc 2.53
2 Tc 0.4072 0.0000 0.7376 [2 per cell]  1 H 2.35, 2 Nb 2.53, 3 Ru 2.54-2.60
3 H 0.1417 0.0000 0.7078 [2 per cell]  2 Ru 1.83
4 Ru 0.1982 0.5000 0.8087 [2 per cell]  2 H 1.83
5 I 0.3962 0.0000 0.3133 [2 per cell]  2 Nb 2.89, 1 Tc 2.90

Output
**E**: -6.557 eV per atom
**Calculated volume**: 99.3 Å³/f.u.
**Magnetic moment**: 0.0 Bohr magnetons per cell

=====

# 12
Density functional theory data (PBE) for a geometry-optimized NbTcHRuI structure.

Cell lengths 4.0746, 3.4751, 7.2949 Å; angles 90.00, 100.35, 90.00 degrees
With the nearest neighbours (Å) after each atom.
Space group Pm (No. 6)
One atom of each set of equivalent atoms:
1 Nb 0.0000 0.0000 0.0000 [1 per cell]  1 Ru 2.38, 2 Tc 2.62
2 Tc 0.9268 0.5000 0.2577 [1 per cell]  2 H 2.16
3 H 0.1930 0.0000 0.3832 [1 per cell]  1 Ru 1.74
4 Ru 0.4848 0.0000 0.2364 [1 per cell]  1 H 1.74
5 I 0.9400 0.5000 0.6808 [1 per cell]  2 Nb 2.88, 1 Tc 3.08, 2 H 3.10

Output
**E**: -6.502 eV per atom
**Calculated volume**: 101.6 Å³/f.u.
**Magnetic moment**: 0.0 Bohr magnetons per cell